No. 1
Pr2NdSm2Ho (PBE, relaxed); calculated formation energy = 56 meV per atom; VASP energy = -4.668 eV per atom; density = 7232 kg/m³
1.0
-1.882 1.299 5.292
-1.804 -6.816 1.032
9.079 -1.845 3.682
Sm Pr Ho Nd
4 4 2 2
Direct
0.000 0.758 0.165 Sm
0.000 0.258 0.835 Sm
0.500 0.258 0.333 Sm
0.500 0.758 0.667 Sm
0.500 0.508 0.000 Pr
0.000 0.258 0.175 Pr
0.000 0.758 0.825 Pr
0.500 0.008 0.000 Pr
0.000 0.008 0.500 Ho
0.000 0.508 0.500 Ho
0.500 0.258 0.660 Nd
0.500 0.758 0.340 Nd

***

No. 2
PrNd2Sm3Ho6 (PBE, relaxed); calculated formation energy = 14 meV per atom; VASP energy = -4.648 eV per atom; density = 7931 kg/m³
1.0
6.236 0.000 0.009
-3.117 5.401 0.009
-1.053 -1.823 11.618
Nd Ho Sm Pr
2 6 3 1
Direct
0.333 0.667 0.000 Nd
0.667 0.333 0.000 Nd
0.084 0.418 0.252 Ho
0.751 0.751 0.252 Ho
0.418 0.084 0.252 Ho
0.249 0.249 0.748 Ho
0.582 0.916 0.748 Ho
0.916 0.582 0.748 Ho
0.833 0.167 0.500 Sm
0.500 0.500 0.500 Sm
0.167 0.833 0.500 Sm
0.000 0.000 0.000 Pr

***

No. 3
Pr2Nd5SmHo (PBE, relaxed); calculated formation energy = 268 meV per atom; VASP energy = -4.475 eV per atom; density = 6896 kg/m³
1.0
8.788 0.000 0.000
0.000 8.788 0.000
-4.394 -4.394 8.221
Nd Ho Pr Sm
10 2 4 2
Direct
0.428 0.356 0.284 Nd
0.856 0.928 0.284 Nd
0.000 0.000 0.000 Nd
0.572 0.644 0.716 Nd
0.356 0.856 0.284 Nd
0.144 0.072 0.716 Nd
0.644 0.144 0.716 Nd
0.928 0.428 0.284 Nd
0.500 0.500 0.000 Nd
0.072 0.572 0.716 Nd
0.750 0.250 0.500 Ho
0.250 0.750 0.500 Ho
0.620 0.120 0.000 Pr
0.380 0.880 0.000 Pr
0.120 0.380 0.000 Pr
0.880 0.620 0.000 Pr
0.250 0.250 0.500 Sm
0.750 0.750 0.500 Sm

***

No. 4
PrNd4SmHo2 (PBE, relaxed); calculated formation energy = 16 meV per atom; VASP energy = -4.700 eV per atom; density = 7302 kg/m³
1.0
-3.510 0.592 0.810
-0.007 -5.093 3.694
3.257 4.975 10.482
Nd Ho Sm Pr
4 2 1 1
Direct
0.000 0.248 0.250 Nd
0.000 0.752 0.750 Nd
0.500 0.249 0.753 Nd
0.500 0.751 0.247 Nd
0.000 0.000 0.000 Ho
0.500 0.000 0.500 Ho
0.500 0.500 0.000 Sm
0.000 0.500 0.500 Pr

***

No. 5
Pr6NdSm2Ho3 (PBE, relaxed); calculated formation energy = 13 meV per atom; VASP energy = -4.705 eV per atom; density = 7204 kg/m³
1.0
6.342 -0.002 0.010
-3.171 5.493 0.010
-1.074 -1.859 11.808
Pr Ho Sm Nd
6 3 2 1
Direct
0.249 0.249 0.746 Pr
0.085 0.418 0.253 Pr
0.582 0.915 0.747 Pr
0.915 0.582 0.747 Pr
0.418 0.085 0.253 Pr
0.751 0.751 0.254 Pr
0.833 0.167 0.500 Ho
0.500 0.500 0.500 Ho
0.167 0.833 0.500 Ho
0.667 0.333 0.000 Sm
0.333 0.667 0.000 Sm
0.000 0.000 0.000 Nd

***

No. 6
Pr2Nd6SmHo (PBE, relaxed); calculated formation energy = 112 meV per atom; VASP energy = -4.634 eV per atom; density = 6907 kg/m³
1.0
-3.880 7.977 4.508
-0.199 -5.149 7.377
7.746 4.071 -2.099
Nd Pr Sm Ho
12 4 2 2
Direct
0.189 0.573 0.015 Nd
0.619 0.496 0.705 Nd
0.445 0.252 0.879 Nd
0.311 0.985 0.427 Nd
0.055 0.121 0.748 Nd
0.689 0.015 0.573 Nd
0.555 0.748 0.121 Nd
0.881 0.295 0.504 Nd
0.945 0.879 0.252 Nd
0.119 0.705 0.496 Nd
0.811 0.427 0.985 Nd
0.381 0.504 0.295 Nd
0.542 0.195 0.295 Pr
0.042 0.295 0.195 Pr
0.458 0.805 0.705 Pr
0.958 0.705 0.805 Pr
0.250 0.982 0.018 Sm
0.750 0.018 0.982 Sm
0.750 0.592 0.408 Ho
0.250 0.408 0.592 Ho

***

No. 7
Pr2NdSm6Ho (PBE, relaxed); calculated formation energy = 114 meV per atom; VASP energy = -4.607 eV per atom; density = 7199 kg/m³
1.0
9.394 -2.151 -2.232
0.765 8.660 -2.041
0.765 -2.361 8.578
Pr Sm Nd Ho
4 12 2 2
Direct
0.458 0.804 0.704 Pr
0.958 0.704 0.804 Pr
0.542 0.196 0.296 Pr
0.042 0.296 0.196 Pr
0.688 0.017 0.573 Sm
0.444 0.256 0.878 Sm
0.120 0.705 0.494 Sm
0.944 0.878 0.256 Sm
0.556 0.744 0.122 Sm
0.620 0.494 0.705 Sm
0.880 0.295 0.506 Sm
0.056 0.122 0.744 Sm
0.188 0.573 0.017 Sm
0.312 0.983 0.427 Sm
0.380 0.506 0.295 Sm
0.812 0.427 0.983 Sm
0.250 0.982 0.018 Nd
0.750 0.018 0.982 Nd
0.250 0.407 0.593 Ho
0.750 0.593 0.407 Ho

***

No. 8
PrNd6SmHo2 (PBE, relaxed); calculated formation energy = 114 meV per atom; VASP energy = -4.613 eV per atom; density = 7116 kg/m³
1.0
2.801 -4.200 -8.407
-2.843 -7.684 3.646
-6.151 5.226 -3.907
Sm Nd Ho Pr
2 12 4 2
Direct
0.750 0.029 0.971 Sm
0.250 0.971 0.029 Sm
0.120 0.704 0.490 Nd
0.818 0.434 0.983 Nd
0.444 0.243 0.890 Nd
0.318 0.983 0.434 Nd
0.182 0.566 0.017 Nd
0.620 0.490 0.704 Nd
0.556 0.757 0.110 Nd
0.880 0.296 0.510 Nd
0.944 0.890 0.243 Nd
0.380 0.510 0.296 Nd
0.056 0.110 0.757 Nd
0.682 0.017 0.566 Nd
0.453 0.804 0.707 Ho
0.953 0.707 0.804 Ho
0.547 0.196 0.293 Ho
0.047 0.293 0.196 Ho
0.750 0.594 0.406 Pr
0.250 0.406 0.594 Pr

***

No. 9
Pr2NdSmHo4 (PBE, relaxed); calculated formation energy = 16 meV per atom; VASP energy = -4.653 eV per atom; density = 7783 kg/m³
1.0
-0.946 -1.459 -3.172
-5.237 -2.225 2.586
-7.351 9.081 -1.985
Ho Pr Nd Sm
4 2 1 1
Direct
0.500 0.251 0.749 Ho
0.000 0.250 0.250 Ho
0.000 0.750 0.750 Ho
0.500 0.749 0.251 Ho
0.500 0.000 0.500 Pr
0.000 0.000 0.000 Pr
0.500 0.500 0.000 Nd
0.000 0.500 0.500 Sm

***

No. 10
PrNd2Sm6Ho3 (PBE, relaxed); calculated formation energy = 17 meV per atom; VASP energy = -4.680 eV per atom; density = 7542 kg/m³
1.0
6.272 -0.001 0.008
-3.135 5.432 0.008
-1.060 -1.835 11.798
Ho Sm Pr Nd
3 6 1 2
Direct
0.167 0.833 0.500 Ho
0.833 0.167 0.500 Ho
0.500 0.500 0.500 Ho
0.752 0.752 0.255 Sm
0.915 0.581 0.745 Sm
0.248 0.248 0.745 Sm
0.085 0.419 0.255 Sm
0.581 0.915 0.745 Sm
0.419 0.085 0.255 Sm
0.000 0.000 0.000 Pr
0.333 0.667 0.000 Nd
0.667 0.333 0.000 Nd

***

No. 11
Pr3NdSmHo (PBE, relaxed); calculated formation energy = 15 meV per atom; VASP energy = -4.719 eV per atom; density = 7030 kg/m³
1.0
-2.803 -4.262 -0.790
3.315 2.272 -7.151
8.327 -5.848 2.002
Pr Ho Nd Sm
6 2 2 2
Direct
0.167 0.335 0.750 Pr
0.666 0.332 0.001 Pr
0.334 0.668 0.501 Pr
0.833 0.665 0.250 Pr
0.666 0.332 0.499 Pr
0.334 0.668 0.999 Pr
0.834 0.668 0.750 Ho
0.166 0.332 0.250 Ho
0.502 0.004 0.250 Nd
0.498 0.996 0.750 Nd
0.000 0.000 0.500 Sm
0.000 0.000 0.000 Sm

***

No. 12
Pr3NdSm6Ho2 (PBE, relaxed); calculated formation energy = 17 meV per atom; VASP energy = -4.698 eV per atom; density = 7308 kg/m³
1.0
6.302 0.000 0.006
-3.150 5.458 0.006
-1.063 -1.840 11.880
Sm Pr Nd Ho
6 3 1 2
Direct
0.417 0.083 0.246 Sm
0.252 0.252 0.754 Sm
0.917 0.583 0.754 Sm
0.748 0.748 0.246 Sm
0.083 0.417 0.246 Sm
0.583 0.917 0.754 Sm
0.500 0.500 0.500 Pr
0.833 0.167 0.500 Pr
0.167 0.833 0.500 Pr
0.000 0.000 0.000 Nd
0.333 0.667 0.000 Ho
0.667 0.333 0.000 Ho

***

Question: Which formula does entry 12 have?
Answer: Pr3NdSm6Ho2